VASP calculation (GGA-PBE) on a relaxed MoIBrCl3 crystal.

The structure belongs to space group P-1 (No. 2); the cell edges are 6.4477, 7.0037 and 9.6494 Å and the angles 107.81°, 92.18° and 115.20°. The inequivalent atoms are Mo at (0.1026, 0.2061, 0.2045), I at (0.0783, 0.8055, 0.5569), Br at (0.4452, 0.5669, 0.3265), Cl at (0.1127, 0.6363, 0.8647), Cl at (0.2308, 0.1717, 0.9559) and Cl at (0.2905, 0.0021, 0.2361).

As for the total moment: 0.99 μB/f.u. The crystal system is triclinic. As for the total energy: -3.853 eV/atom.